# Be3Si3Ag2O12

An optimized crystal structure of Be3Si3Ag2O12 (PBEsol, the Alexandria database).

uncorrected formation energy	-1.907	eV per atom
M_tot	1.3	μB/cell

Unit cell a=7.471 b=8.173 c=14.390 alpha=88.77 beta=90.00 gamma=90.00
Last column: magnetic moment on the atom in μB.
Atoms (fractional coordinates):
Be1 0.170 0.568 0.236  0.00
Be2 0.331 0.557 0.599  0.00
Be3 0.831 0.943 0.901  0.00
Be4 0.669 0.443 0.401  0.00
Be5 0.169 0.057 0.099  0.00
Be6 0.816 0.907 0.576  0.00
Be7 0.316 0.593 0.924  0.00
Be8 0.184 0.093 0.424  0.00
Be9 0.684 0.407 0.076  0.00
Be10 0.330 0.068 0.736  0.00
Be11 0.830 0.432 0.764  0.00
Be12 0.670 0.932 0.264  0.00
Si1 0.781 0.593 0.229  0.00
Si2 0.281 0.907 0.271  0.00
Si3 0.219 0.407 0.771  0.00
Si4 0.719 0.093 0.729  0.00
Si5 0.273 0.387 0.086  0.00
Si6 0.773 0.113 0.414  0.00
Si7 0.727 0.613 0.914  0.00
Si8 0.227 0.887 0.586  0.00
Si9 0.771 0.068 0.091  0.00
Si10 0.271 0.432 0.409  0.00
Si11 0.229 0.932 0.909  0.00
Si12 0.729 0.568 0.591  0.00
Ag1 0.480 0.219 0.931  -0.03
Ag2 0.020 0.719 0.431  -0.03
Ag3 0.520 0.781 0.069  -0.03
Ag4 0.980 0.281 0.569  -0.03
Ag5 0.444 0.239 0.565  0.03
Ag6 0.944 0.261 0.935  0.03
Ag7 0.556 0.761 0.435  0.03
Ag8 0.056 0.739 0.065  0.03
O1 0.844 0.768 0.950  0.01
O2 0.981 0.581 0.181  0.07
O3 0.481 0.919 0.319  0.07
O4 0.019 0.419 0.819  0.07
O5 0.519 0.081 0.681  0.07
O6 0.482 0.350 0.050  0.00
O7 0.982 0.150 0.450  0.00
O8 0.518 0.650 0.950  0.00
O9 0.018 0.850 0.550  0.00
O10 0.966 0.971 0.099  0.01
O11 0.466 0.529 0.401  0.01
O12 0.034 0.029 0.901  0.01
O13 0.877 0.461 0.653  -0.01
O14 0.377 0.039 0.847  -0.01
O15 0.123 0.539 0.347  -0.01
O16 0.623 0.961 0.153  -0.01
O17 0.344 0.732 0.550  0.01
O18 0.534 0.471 0.599  0.01
O19 0.656 0.268 0.450  0.01
O20 0.156 0.232 0.050  0.01
O21 0.206 0.436 0.522  -0.01
O22 0.348 0.418 0.866  -0.01
O23 0.152 0.918 0.366  -0.01
O24 0.652 0.582 0.134  -0.01
O25 0.244 0.055 0.200  0.06
O26 0.744 0.445 0.300  0.06
O27 0.756 0.945 0.800  0.06
O28 0.256 0.555 0.700  0.06
O29 0.277 0.422 0.195  0.05
O30 0.777 0.078 0.305  0.05
O31 0.723 0.578 0.805  0.05
O32 0.223 0.922 0.695  0.05
O33 0.785 0.255 0.120  0.00
O34 0.285 0.245 0.380  0.00
O35 0.215 0.745 0.880  0.00
O36 0.715 0.755 0.620  0.00
O37 0.265 0.738 0.215  0.10
O38 0.765 0.762 0.285  0.10
O39 0.735 0.262 0.785  0.10
O40 0.235 0.238 0.715  0.10
O41 0.209 0.548 0.022  0.00
O42 0.709 0.952 0.478  0.00
O43 0.791 0.452 0.978  0.00
O44 0.291 0.048 0.522  0.00
O45 0.294 0.936 0.022  -0.01
O46 0.794 0.564 0.478  -0.01
O47 0.706 0.064 0.978  -0.01
O48 0.848 0.082 0.634  -0.01